No. 1
! NaLi4In15 (PBE-GGA, relaxed); values from VASP
&SYSTEM
  ibrav = 0, nat = 20, ntyp = 3
/
ATOMIC_SPECIES
In 114.82 In.upf
Na 22.99 Na.upf
Li 6.94 Li.upf
CELL_PARAMETERS angstrom
-0.872 0.098 -4.431
-4.319 -1.033 0.828
-5.250 23.188 1.544
ATOMIC_POSITIONS crystal
In 0.000 0.500 0.893
In 0.500 0.000 0.107
In 0.500 0.000 0.303
In 0.000 0.500 0.107
In 0.500 0.000 0.893
In 0.500 0.500 0.205
In 0.000 0.500 0.303
In 0.500 0.500 0.401
In 0.000 0.500 0.697
In 0.000 0.500 0.500
In 0.500 0.000 0.697
In 0.500 0.000 0.500
In 0.500 0.500 0.795
In 0.500 0.500 0.000
In 0.500 0.500 0.599
Na 0.000 0.000 0.000
Li 0.000 0.000 0.207
Li 0.000 0.000 0.400
Li 0.000 0.000 0.600
Li 0.000 0.000 0.793
! * energy: -2.615 eV/atom
! * crystal system: tetragonal

No. 2
! HfSbIrI2 (PBE-GGA, relaxed); values from VASP
&SYSTEM
  ibrav = 0, nat = 5, ntyp = 4
/
ATOMIC_SPECIES
I 126.90 I.upf
Ir 192.22 Ir.upf
Sb 121.76 Sb.upf
Hf 178.49 Hf.upf
CELL_PARAMETERS angstrom
-2.171 -5.021 0.147
5.020 -2.174 -0.112
0.169 0.095 5.758
ATOMIC_POSITIONS crystal
I 0.000 0.500 0.000
I 0.500 0.000 0.000
Ir 0.500 0.500 0.500
Sb 0.000 0.000 0.500
Hf 0.000 0.000 0.000
! * crystal system: tetragonal
! * ΔE_f (raw): 5.31 eV per formula unit
! * E above lowest polymorph: 232.5 meV per atom

No. 3
! Mg2TlZn2 (PBE-GGA, relaxed); values from VASP
&SYSTEM
  ibrav = 0, nat = 10, ntyp = 3
/
ATOMIC_SPECIES
Zn 65.41 Zn.upf
Mg 24.30 Mg.upf
Tl 204.38 Tl.upf
CELL_PARAMETERS angstrom
-5.081 6.179 1.250
-4.261 -4.549 5.169
1.816 1.011 2.386
ATOMIC_POSITIONS crystal
Zn 0.387 0.887 0.000
Zn 0.887 0.613 0.000
Zn 0.613 0.113 0.000
Zn 0.113 0.387 0.000
Mg 0.182 0.682 0.500
Mg 0.682 0.818 0.500
Mg 0.318 0.182 0.500
Mg 0.818 0.318 0.500
Tl 0.500 0.500 0.000
Tl 0.000 0.000 0.000
! * crystal system: tetragonal
! * E above lowest polymorph: 0.0 meV per atom